Below is a geometry-optimized CsK5Hg structure, with properties calculated at the PBE level.

Unit cell a=6.346 b=6.346 c=11.603 alpha=90.00 beta=90.00 gamma=90.00
Element x y z (fractional)
K 0.500 0.000 0.826
K 0.000 0.500 0.174
K 0.000 0.500 0.826
K 0.500 0.500 0.500
K 0.500 0.000 0.174
Cs 0.000 0.000 0.500
Hg 0.500 0.500 0.000

## Properties
* total moment: 0.00 μB/cell
* DFT total energy: -0.99 eV/atom

Below is a geometry-optimized Er6CoBi structure, with properties calculated at the PBE level.

Unit cell a=6.659 b=6.673 c=7.598 alpha=64.01 beta=64.09 gamma=60.03
Element x y z (fractional)
Er 0.034 0.409 0.775
Er 0.219 0.967 0.224
Er 0.966 0.591 0.225
Er 0.592 0.218 0.225
Er 0.408 0.782 0.775
Er 0.781 0.033 0.776
Co 0.000 0.000 0.000
Bi 0.500 0.500 0.500

## Properties
* total moment: 0.00 μB/cell
* DFT total energy: -4.89 eV/atom

Question: Which formula does entry 1 have?
Answer: CsK5Hg